Entry 1:
First-principles (PBE) data for ZrSc4Ag3 after structural relaxation, as listed in the Alexandria database.

Computed properties:
DFT formation energy: -1.6 eV per formula unit
M_tot: 0.0 μB/cell
DFT total energy: -5.503 eV/atom

```
ZrSc4Ag3
1.0
-0.885 -1.308 2.964
2.985 -1.524 0.219
5.609 11.984 6.963
Ag Sc Zr
3 4 1
Cartesian
5.182 7.412 6.721 Ag
3.855 4.576 5.073 Ag
2.527 1.740 3.425 Ag
2.140 4.571 2.656 Sc
0.796 1.701 0.989 Sc
4.813 10.283 5.975 Sc
3.470 7.413 4.307 Sc
1.050 -1.416 1.591 Zr
```



Entry 2:
First-principles (PBE) data for Zr2ScAg after structural relaxation, as listed in the Alexandria database.

Computed properties:
DFT formation energy: -0.2 eV per formula unit
M_tot: 0.0 μB/cell
DFT total energy: -6.612 eV/atom
Excess energy over the best structure of this formula in the dataset: 61 meV/atom

```
Zr2ScAg
1.0
-5.133 0.727 -2.311
-3.263 -0.453 -4.622
-3.028 -4.598 -0.102
Sc Zr Ag
1 2 1
Cartesian
-8.501 -2.874 -5.410 Sc
-8.498 0.037 -6.894 Zr
-2.542 -0.837 -1.630 Zr
-5.991 -2.537 -3.551 Ag
```



Entry 3:
First-principles (PBE) data for ZrScAg after structural relaxation, as listed in the Alexandria database.

Computed properties:
DFT formation energy: -0.4 eV per formula unit
M_tot: 0.0 μB/cell
DFT total energy: -6.037 eV/atom
Excess energy over the best structure of this formula in the dataset: 24 meV/atom

```
ZrScAg
1.0
-3.140 -0.542 -0.611
1.474 -5.762 -2.529
0.566 -0.856 6.484
Sc Zr Ag
2 2 2
Cartesian
0.552 -3.474 3.810 Sc
-1.158 -1.349 2.133 Sc
-0.426 -4.284 0.930 Zr
1.294 -6.302 2.486 Zr
-1.420 -5.135 -1.840 Ag
-2.157 -2.256 -0.575 Ag
```



Entry 4:
First-principles (PBE) data for ZrSc2Ag after structural relaxation, as listed in the Alexandria database.

Computed properties:
DFT formation energy: -0.6 eV per formula unit
M_tot: 0.0 μB/cell
DFT total energy: -6.165 eV/atom
Excess energy over the best structure of this formula in the dataset: 0 meV/atom

```
ZrSc2Ag
1.0
3.252 0.000 0.000
0.000 3.252 0.000
0.000 0.000 8.275
Sc Zr Ag
2 1 1
Cartesian
0.000 0.000 8.139 Sc
0.000 0.000 4.274 Sc
1.626 1.626 2.069 Zr
1.626 1.626 6.207 Ag
```



Entry 5:
First-principles (PBE) data for ZrSc2Ag after structural relaxation, as listed in the Alexandria database.

Computed properties:
DFT formation energy: 0.1 eV per formula unit
M_tot: 0.0 μB/cell
DFT total energy: -5.991 eV/atom
Excess energy over the best structure of this formula in the dataset: 174 meV/atom

```
ZrSc2Ag
1.0
-3.002 -1.168 -3.458
2.271 -1.900 -1.330
-0.630 -5.526 2.414
Zr Sc Ag
1 2 1
Cartesian
1.015 -3.888 0.432 Zr
-1.108 -2.499 -1.423 Sc
1.529 -7.203 1.107 Sc
-0.335 -6.142 -0.864 Ag
```



Entry 6:
First-principles (PBE) data for ZrScAg2 after structural relaxation, as listed in the Alexandria database.

Computed properties:
DFT formation energy: 0.2 eV per formula unit
M_tot: 0.0 μB/cell
DFT total energy: -5.094 eV/atom
Excess energy over the best structure of this formula in the dataset: 195 meV/atom

```
ZrScAg2
1.0
2.976 0.000 0.000
0.000 5.716 -0.009
0.000 3.538 4.849
Sc Ag Zr
1 2 1
Cartesian
1.488 4.627 2.420 Sc
1.488 2.858 -0.005 Ag
0.000 0.000 0.000 Ag
0.000 1.769 2.425 Zr
```



Entry 7:
First-principles (PBE) data for ZrScAg after structural relaxation, as listed in the Alexandria database.

Computed properties:
DFT formation energy: -0.3 eV per formula unit
M_tot: 0.0 μB/cell
DFT total energy: -6.011 eV/atom
Excess energy over the best structure of this formula in the dataset: 50 meV/atom

```
ZrScAg
1.0
-3.777 -2.725 2.000
4.768 -4.037 -6.186
2.014 -1.116 2.281
Ag Sc Zr
2 2 2
Cartesian
1.659 -2.222 -0.774 Ag
4.020 -3.823 -1.341 Ag
1.261 -4.987 -1.777 Sc
0.641 -3.782 1.663 Sc
-1.782 -3.607 3.887 Zr
3.683 -5.162 -4.002 Zr
```



Entry 8:
First-principles (PBE) data for ZrScAg after structural relaxation, as listed in the Alexandria database.

Computed properties:
DFT formation energy: 0.0 eV per formula unit
M_tot: 0.0 μB/cell
DFT total energy: -5.908 eV/atom
Excess energy over the best structure of this formula in the dataset: 153 meV/atom

```
ZrScAg
1.0
8.440 0.000 0.000
0.000 6.263 0.000
0.000 0.000 4.877
Zr Ag Sc
4 4 4
Cartesian
5.625 4.697 0.000 Zr
2.815 1.566 4.876 Zr
1.405 4.697 2.438 Zr
7.035 1.566 2.439 Zr
2.811 4.697 4.876 Ag
5.629 1.566 0.000 Ag
7.031 4.697 2.439 Ag
1.409 1.566 2.438 Ag
0.000 3.131 0.000 Sc
0.000 0.000 0.000 Sc
4.220 3.131 2.438 Sc
4.220 0.000 2.438 Sc
```



Entry 9:
First-principles (PBE) data for ZrScAg after structural relaxation, as listed in the Alexandria database.

Computed properties:
DFT formation energy: 4.0 eV per formula unit
M_tot: 1.7 μB/cell
DFT total energy: -4.593 eV/atom
Excess energy over the best structure of this formula in the dataset: 1468 meV/atom

```
ZrScAg
1.0
3.808 -2.198 0.000
0.000 4.397 0.000
0.000 0.000 10.562
Ag Zr Sc
2 2 2
Cartesian
2.538 0.000 7.922 Ag
1.269 2.198 2.641 Ag
0.000 0.000 5.281 Zr
0.000 0.000 0.000 Zr
0.000 0.000 7.922 Sc
0.000 0.000 2.641 Sc
```



Entry 10:
First-principles (PBE) data for ZrScAg2 after structural relaxation, as listed in the Alexandria database.

Computed properties:
DFT formation energy: 0.0 eV per formula unit
M_tot: 0.0 μB/cell
DFT total energy: -5.146 eV/atom
Excess energy over the best structure of this formula in the dataset: 144 meV/atom

```
ZrScAg2
1.0
9.735 -0.003 -0.002
9.219 3.129 -0.002
9.219 1.520 2.735
Sc Ag Zr
1 2 1
Cartesian
14.167 2.336 1.373 Sc
28.102 4.635 2.724 Ag
7.085 1.168 0.687 Ag
21.079 3.476 2.044 Zr
```



Entry 11:
First-principles (PBE) data for Zr2ScAg after structural relaxation, as listed in the Alexandria database.

Computed properties:
DFT formation energy: 1.3 eV per formula unit
M_tot: 0.0 μB/cell
DFT total energy: -6.251 eV/atom
Excess energy over the best structure of this formula in the dataset: 422 meV/atom

```
Zr2ScAg
1.0
-1.069 3.917 -0.522
-0.792 -0.742 -3.947
-11.200 -0.878 0.290
Sc Zr Ag
2 4 2
Cartesian
-6.461 -0.017 -2.946 Sc
-0.930 1.587 -2.235 Sc
-9.090 0.539 -1.420 Zr
-10.036 2.112 -3.732 Zr
-3.577 2.174 -0.753 Zr
-3.418 -0.233 -2.454 Zr
-6.599 2.313 -1.234 Ag
0.000 0.000 0.000 Ag
```



Entry 12:
First-principles (PBE) data for Zr2ScAg after structural relaxation, as listed in the Alexandria database.

Computed properties:
DFT formation energy: 0.1 eV per formula unit
M_tot: 0.0 μB/cell
DFT total energy: -6.546 eV/atom
Excess energy over the best structure of this formula in the dataset: 128 meV/atom

```
Zr2ScAg
1.0
4.587 0.000 0.000
0.000 4.329 0.000
0.000 0.000 4.329
Ag Zr Sc
1 2 1
Cartesian
2.293 2.165 0.000 Ag
0.000 0.000 0.000 Zr
0.000 2.165 2.165 Zr
2.293 0.000 2.165 Sc
```